Entry 1:
# La3Re

A relaxed structure of La3Re (PBEsol, Alexandria via LeMat-Bulk).

Computed properties:
- calculated density (Mg/m³) = 9.1
- symmetry = No. 166
- DFT formation energy (eV/atom) = 0.46

Cell lengths 3.499, 3.499, 10.609 Å; angles 80.51, 80.51, 60.00 degrees
Atoms (fractional coordinates):
1 La 0.766 0.766 0.703
2 La 0.000 0.000 0.000
3 La 0.234 0.234 0.297
4 Re 0.500 0.500 0.500

***

Entry 2:
# La5Re

A relaxed structure of La5Re (PBEsol, Alexandria via LeMat-Bulk).

Computed properties:
- calculated density (Mg/m³) = 8.2
- symmetry = No. 8
- DFT formation energy (eV/atom) = 0.15

Cell lengths 3.637, 6.545, 8.255 Å; angles 108.70, 90.00, 106.13 degrees
Atoms (fractional coordinates):
1 La 0.001 0.002 0.912
2 La 0.639 0.279 0.278
3 La 0.276 0.553 0.644
4 La 0.295 0.590 0.067
5 La 0.982 0.965 0.488
6 Re 0.639 0.277 0.778

***

Entry 3:
# LaRe3

A relaxed structure of LaRe3 (PBEsol, Alexandria via LeMat-Bulk).

Computed properties:
- calculated density (Mg/m³) = 16.8
- symmetry = No. 166
- DFT formation energy (eV/atom) = 0.51

Cell lengths 2.823, 2.823, 10.117 Å; angles 81.98, 81.98, 60.00 degrees
Atoms (fractional coordinates):
1 La 0.000 0.000 0.000
2 Re 0.238 0.238 0.285
3 Re 0.500 0.500 0.500
4 Re 0.762 0.762 0.715

***

Entry 4:
# La4Re

A relaxed structure of La4Re (PBEsol, Alexandria via LeMat-Bulk).

Computed properties:
- calculated density (Mg/m³) = 8.5
- symmetry = No. 166
- DFT formation energy (eV/atom) = 0.24

Cell lengths 5.491, 5.491, 6.385 Å; angles 64.53, 64.53, 60.00 degrees
Atoms (fractional coordinates):
1 La 0.162 0.162 0.515
2 La 0.383 0.383 0.852
3 La 0.617 0.617 0.148
4 La 0.838 0.838 0.485
5 Re 0.000 0.000 0.000